1:
Compound: YNi2F
Source: the Alexandria database
Functional: PBE+U
Structure: relaxed

Cell and atoms, written as POSCAR:
```
YNi2F
1.0
6.1981 0.0000 0.0000
0.0000 6.1981 0.0000
0.0000 0.0000 6.1981
Y Ni F
4 8 4
Direct
0.0000 0.0000 0.0000
0.0000 0.5000 0.5000
0.5000 0.0000 0.5000
0.5000 0.5000 0.0000
0.2500 0.2500 0.2500
0.2500 0.2500 0.7500
0.2500 0.7500 0.2500
0.2500 0.7500 0.7500
0.7500 0.2500 0.2500
0.7500 0.2500 0.7500
0.7500 0.7500 0.2500
0.7500 0.7500 0.7500
0.0000 0.0000 0.5000
0.0000 0.5000 0.0000
0.5000 0.0000 0.0000
0.5000 0.5000 0.5000
```

Values from the calculation:
volume: 14.9 A^3/atom
crystal system: cubic

***

2:
Compound: YNi2F
Source: the Alexandria database
Functional: PBE+U
Structure: relaxed

Cell and atoms, written as POSCAR:
```
YNi2F
1.0
7.8967 0.0000 0.0000
0.0000 7.8967 0.0000
0.0000 0.0000 4.5575
Y Ni F
4 8 4
Direct
0.0000 0.0000 0.0000
0.0000 0.5000 0.2500
0.5000 0.0000 0.7500
0.5000 0.5000 0.5000
0.2087 0.2500 0.6250
0.2500 0.7087 0.8750
0.2500 0.7913 0.3750
0.2913 0.2500 0.1250
0.7087 0.7500 0.1250
0.7500 0.2087 0.3750
0.7500 0.2913 0.8750
0.7913 0.7500 0.6250
0.0000 0.0000 0.5000
0.0000 0.5000 0.7500
0.5000 0.0000 0.2500
0.5000 0.5000 0.0000
```

Values from the calculation:
volume: 17.8 A^3/atom
crystal system: tetragonal

***

Most stable to least stable, the ends of the list are 2 and 1.

***

1:
Compound: ZnNiF4
Source: the Alexandria database
Functional: PBE+U
Structure: relaxed

Cell and atoms, written as POSCAR:
```
ZnNiF4
1.0
5.0013 0.0000 0.0000
0.0443 5.5577 0.0000
1.7901 1.7733 5.0988
Zn Ni F
2 2 8
Direct
0.2426 0.1801 0.0233
0.7574 0.8199 0.9767
0.0000 0.5000 0.5000
0.5000 0.0000 0.5000
0.1792 0.9410 0.8161
0.1852 0.4700 0.7563
0.2870 0.2864 0.3175
0.3300 0.8292 0.2706
0.6700 0.1708 0.7294
0.7130 0.7136 0.6825
0.8148 0.5300 0.2437
0.8208 0.0590 0.1839
```

Values from the calculation:
volume: 11.8 A^3/atom
crystal system: triclinic

***

2:
Compound: ZnNiF4
Source: the Alexandria database
Functional: PBE+U
Structure: relaxed

Cell and atoms, written as POSCAR:
```
ZnNiF4
1.0
6.3167 0.0000 0.0000
0.0000 6.3167 0.0000
0.0000 0.0000 4.9988
Zn Ni F
2 2 8
Direct
0.0000 0.0000 0.0000
0.5000 0.5000 0.5000
0.0000 0.5000 0.2500
0.5000 0.0000 0.7500
0.1146 0.2206 0.2258
0.2206 0.8854 0.7742
0.2794 0.6146 0.2742
0.3854 0.2794 0.7258
0.6146 0.7206 0.7258
0.7206 0.3854 0.2742
0.7794 0.1146 0.7742
0.8854 0.7794 0.2258
```

Values from the calculation:
volume: 16.6 A^3/atom
crystal system: tetragonal

***

3:
Compound: ZnNiF4
Source: the Alexandria database
Functional: PBE+U
Structure: relaxed

Cell and atoms, written as POSCAR:
```
ZnNiF4
1.0
3.4633 -5.5453 0.0000
3.4633 5.5453 0.0000
-3.4529 0.0000 3.5946
Zn Ni F
2 2 8
Direct
0.1611 0.8389 0.7500
0.8389 0.1611 0.2500
0.4186 0.5814 0.2500
0.5814 0.4186 0.7500
0.1098 0.5119 0.3102
0.2097 0.3052 0.6992
0.3052 0.2097 0.1992
0.4881 0.8902 0.1898
0.5119 0.1098 0.8102
0.6948 0.7903 0.8008
0.7903 0.6948 0.3008
0.8902 0.4881 0.6898
```

Values from the calculation:
volume: 11.5 A^3/atom
crystal system: monoclinic

***

Most stable to least stable, the ends of the list are 3 and 2.

***

1:
Compound: ZnNiF3
Source: the Alexandria database
Functional: PBE+U
Structure: relaxed

Cell and atoms, written as POSCAR:
```
ZnNiF3
1.0
4.0177 0.0000 0.0000
0.0000 4.0177 0.0000
0.0000 0.0000 4.0177
Zn Ni F
1 1 3
Direct
0.0000 0.0000 0.0000
0.5000 0.5000 0.5000
0.0000 0.0000 0.5000
0.0000 0.5000 0.0000
0.5000 0.0000 0.0000
```

Values from the calculation:
volume: 13.0 A^3/atom
crystal system: cubic

***

2:
Compound: ZnNiF3
Source: the Alexandria database
Functional: PBE+U
Structure: relaxed

Cell and atoms, written as POSCAR:
```
ZnNiF3
1.0
4.0082 0.0000 0.0000
0.0000 4.0082 0.0000
0.0000 0.0000 4.0082
Zn Ni F
1 1 3
Direct
0.0000 0.0000 0.0000
0.5000 0.5000 0.5000
0.0000 0.5000 0.5000
0.5000 0.0000 0.5000
0.5000 0.5000 0.0000
```

Values from the calculation:
volume: 12.9 A^3/atom
crystal system: cubic

***

Most stable to least stable, the ends of the list are 2 and 1.

***

1:
Compound: ZnNiF5
Source: the Alexandria database
Functional: PBE+U
Structure: relaxed

Cell and atoms, written as POSCAR:
```
ZnNiF5
1.0
5.0682 0.0000 0.0000
0.0000 9.6439 0.0000
-2.5532 0.0000 6.9954
Zn Ni F
4 4 20
Direct
0.0309 0.0149 0.2404
0.0309 0.4851 0.7404
0.9691 0.5149 0.2596
0.9691 0.9851 0.7596
0.3934 0.2431 0.6224
0.3934 0.2569 0.1224
0.6066 0.7431 0.8776
0.6066 0.7569 0.3776
0.0853 0.1195 0.5928
0.0853 0.3805 0.0928
0.1451 0.1100 0.0098
0.1451 0.3900 0.5098
0.2945 0.6418 0.3425
0.2945 0.8582 0.8425
0.3479 0.1780 0.3597
0.3479 0.3220 0.8597
0.3734 0.5968 0.7663
0.3734 0.9032 0.2663
0.6266 0.0968 0.7337
0.6266 0.4032 0.2337
0.6521 0.6780 0.1403
0.6521 0.8220 0.6403
0.7055 0.1418 0.1575
0.7055 0.3582 0.6575
0.8549 0.6100 0.4902
0.8549 0.8900 0.9902
0.9147 0.6195 0.9072
0.9147 0.8805 0.4072
```

Values from the calculation:
volume: 12.2 A^3/atom
crystal system: monoclinic

***

2:
Compound: ZnNiF5
Source: the Alexandria database
Functional: PBE+U
Structure: relaxed

Cell and atoms, written as POSCAR:
```
ZnNiF5
1.0
4.2632 -3.0520 0.0000
4.2632 3.0520 0.0000
-3.3386 0.0000 6.6965
Zn Ni F
2 2 10
Direct
0.0345 0.9655 0.7500
0.9655 0.0345 0.2500
0.5000 0.5000 0.0000
0.5000 0.5000 0.5000
0.1729 0.7733 0.0406
0.2181 0.2970 0.3644
0.2267 0.8271 0.4594
0.2970 0.2181 0.8644
0.3840 0.6160 0.7500
0.6160 0.3840 0.2500
0.7030 0.7819 0.1356
0.7733 0.1729 0.5406
0.7819 0.7030 0.6356
0.8271 0.2267 0.9594
```

Values from the calculation:
volume: 12.4 A^3/atom
crystal system: monoclinic

***

3:
Compound: ZnNiF5
Source: the Alexandria database
Functional: PBE+U
Structure: relaxed

Cell and atoms, written as POSCAR:
```
ZnNiF5
1.0
3.9038 -3.3499 0.0000
3.9038 3.3499 0.0000
-3.5756 0.0000 7.0388
Zn Ni F
2 2 10
Direct
0.0947 0.9053 0.7500
0.9053 0.0947 0.2500
0.0000 0.5000 0.0000
0.5000 0.0000 0.5000
0.1660 0.6072 0.8638
0.2049 0.2475 0.5042
0.2138 0.7862 0.2500
0.2475 0.2049 0.0042
0.3928 0.8340 0.6362
0.6072 0.1660 0.3638
0.7525 0.7951 0.9958
0.7862 0.2138 0.7500
0.7951 0.7525 0.4958
0.8340 0.3928 0.1362
```

Values from the calculation:
volume: 13.1 A^3/atom
crystal system: monoclinic

***

Most stable to least stable, the ends of the list are 2 and 3.

***

1:
Compound: ZnNi2F
Source: the Alexandria database
Functional: PBE+U
Structure: relaxed

Cell and atoms, written as POSCAR:
```
ZnNi2F
1.0
5.8450 0.0000 0.0000
0.0000 5.8450 0.0000
0.0000 0.0000 5.8450
Zn Ni F
4 8 4
Direct
0.0000 0.0000 0.0000
0.0000 0.5000 0.5000
0.5000 0.0000 0.5000
0.5000 0.5000 0.0000
0.2500 0.2500 0.2500
0.2500 0.2500 0.7500
0.2500 0.7500 0.2500
0.2500 0.7500 0.7500
0.7500 0.2500 0.2500
0.7500 0.2500 0.7500
0.7500 0.7500 0.2500
0.7500 0.7500 0.7500
0.0000 0.0000 0.5000
0.0000 0.5000 0.0000
0.5000 0.0000 0.0000
0.5000 0.5000 0.5000
```

Values from the calculation:
volume: 12.5 A^3/atom
crystal system: cubic

***

2:
Compound: ZnNi2F
Source: the Alexandria database
Functional: PBE+U
Structure: relaxed

Cell and atoms, written as POSCAR:
```
ZnNi2F
1.0
3.5724 0.0000 0.0000
0.0000 3.5724 0.0000
0.0000 0.0000 16.9769
Zn Ni F
4 8 4
Direct
0.0000 0.0000 0.0000
0.0000 0.5000 0.2500
0.5000 0.0000 0.7500
0.5000 0.5000 0.5000
0.2417 0.2500 0.6250
0.2500 0.7417 0.8750
0.2500 0.7583 0.3750
0.2583 0.2500 0.1250
0.7417 0.7500 0.1250
0.7500 0.2417 0.3750
0.7500 0.2583 0.8750
0.7583 0.7500 0.6250
0.0000 0.0000 0.5000
0.0000 0.5000 0.7500
0.5000 0.0000 0.2500
0.5000 0.5000 0.0000
```

Values from the calculation:
volume: 13.5 A^3/atom
crystal system: tetragonal

***

Most stable to least stable, the ends of the list are 2 and 1.

***

1:
Compound: ZnNi3F
Source: the Alexandria database
Functional: PBE+U
Structure: relaxed

Cell and atoms, written as POSCAR:
```
ZnNi3F
1.0
4.5267 0.0000 0.0000
0.0000 4.5267 0.0000
0.0000 0.0000 4.5267
Zn Ni F
1 3 1
Direct
0.0000 0.0000 0.0000
0.0000 0.0000 0.5000
0.0000 0.5000 0.0000
0.5000 0.0000 0.0000
0.5000 0.5000 0.5000
```

Values from the calculation:
volume: 18.6 A^3/atom
crystal system: cubic

***

2:
Compound: ZnNi3F
Source: the Alexandria database
Functional: PBE+U
Structure: relaxed

Cell and atoms, written as POSCAR:
```
ZnNi3F
1.0
4.0716 0.0000 0.0000
0.0000 4.0716 0.0000
0.0000 0.0000 4.0716
Zn Ni F
1 3 1
Direct
0.0000 0.0000 0.0000
0.0000 0.5000 0.5000
0.5000 0.0000 0.5000
0.5000 0.5000 0.0000
0.5000 0.5000 0.5000
```

Values from the calculation:
volume: 13.5 A^3/atom
crystal system: cubic

***

Most stable to least stable, the ends of the list are 2 and 1.

***

1:
Compound: ZnNiF2
Source: the Alexandria database
Functional: PBE+U
Structure: relaxed

Cell and atoms, written as POSCAR:
```
ZnNiF2
1.0
5.8356 0.0000 0.0000
0.0000 5.8356 0.0000
0.0000 0.0000 6.0069
Zn Ni F
4 4 8
Direct
0.0000 0.0000 0.0000
0.0000 0.5000 0.2500
0.5000 0.0000 0.7500
0.5000 0.5000 0.5000
0.0000 0.0000 0.5000
0.0000 0.5000 0.7500
0.5000 0.0000 0.2500
0.5000 0.5000 0.0000
0.2407 0.2500 0.6250
0.2500 0.7407 0.8750
0.2500 0.7593 0.3750
0.2593 0.2500 0.1250
0.7407 0.7500 0.1250
0.7500 0.2407 0.3750
0.7500 0.2593 0.8750
0.7593 0.7500 0.6250
```

Values from the calculation:
volume: 12.8 A^3/atom
crystal system: tetragonal

***

2:
Compound: ZnNiF2
Source: the Alexandria database
Functional: PBE+U
Structure: relaxed

Cell and atoms, written as POSCAR:
```
ZnNiF2
1.0
3.0474 0.0000 0.0000
-1.5237 2.6391 0.0000
0.0000 0.0000 22.2058
Zn Ni F
3 3 6
Direct
0.0000 0.0000 0.0000
0.3333 0.6667 0.6667
0.6667 0.3333 0.3333
0.0000 0.0000 0.5000
0.3333 0.6667 0.1667
0.6667 0.3333 0.8333
0.0000 0.0000 0.3813
0.0000 0.0000 0.6187
0.3333 0.6667 0.0480
0.3333 0.6667 0.2853
0.6667 0.3333 0.7147
0.6667 0.3333 0.9520
```

Values from the calculation:
volume: 14.9 A^3/atom
crystal system: trigonal

***

Most stable to least stable, the ends of the list are 2 and 1.

***

1:
Compound: ZnNiF2
Source: the Alexandria database
Functional: PBE+U
Structure: relaxed

Cell and atoms, written as POSCAR:
```
ZnNiF2
1.0
5.6438 0.0000 0.0000
0.0000 5.6438 0.0000
0.0000 0.0000 5.6438
Zn Ni F
4 4 8
Direct
0.0000 0.0000 0.0000
0.0000 0.5000 0.5000
0.5000 0.0000 0.5000
0.5000 0.5000 0.0000
0.0000 0.0000 0.5000
0.0000 0.5000 0.0000
0.5000 0.0000 0.0000
0.5000 0.5000 0.5000
0.2500 0.2500 0.2500
0.2500 0.2500 0.7500
0.2500 0.7500 0.2500
0.2500 0.7500 0.7500
0.7500 0.2500 0.2500
0.7500 0.2500 0.7500
0.7500 0.7500 0.2500
0.7500 0.7500 0.7500
```

Values from the calculation:
volume: 11.2 A^3/atom
crystal system: cubic

***

2:
Compound: ZnNiF2
Source: the Alexandria database
Functional: PBE+U
Structure: relaxed

Cell and atoms, written as POSCAR:
```
ZnNiF2
1.0
2.9995 0.0000 0.0000
-1.4997 2.5976 0.0000
0.0000 0.0000 24.2821
Zn Ni F
3 3 6
Direct
0.0000 0.0000 0.0000
0.3333 0.6667 0.6667
0.6667 0.3333 0.3333
0.0000 0.0000 0.5000
0.3333 0.6667 0.1667
0.6667 0.3333 0.8333
0.0000 0.0000 0.1234
0.0000 0.0000 0.8766
0.3333 0.6667 0.5432
0.3333 0.6667 0.7901
0.6667 0.3333 0.2099
0.6667 0.3333 0.4568
```

Values from the calculation:
volume: 15.8 A^3/atom
crystal system: trigonal

***

Most stable to least stable, the ends of the list are 2 and 1.

***

1:
Compound: ZrNi2F
Source: the Alexandria database
Functional: PBE+U
Structure: relaxed

Cell and atoms, written as POSCAR:
```
ZrNi2F
1.0
6.9796 0.0000 0.0000
0.0000 6.9796 0.0000
0.0000 0.0000 4.5082
Zr Ni F
4 8 4
Direct
0.0000 0.0000 0.0000
0.0000 0.5000 0.2500
0.5000 0.0000 0.7500
0.5000 0.5000 0.5000
0.2281 0.2500 0.6250
0.2500 0.7281 0.8750
0.2500 0.7719 0.3750
0.2719 0.2500 0.1250
0.7281 0.7500 0.1250
0.7500 0.2281 0.3750
0.7500 0.2719 0.8750
0.7719 0.7500 0.6250
0.0000 0.0000 0.5000
0.0000 0.5000 0.7500
0.5000 0.0000 0.2500
0.5000 0.5000 0.0000
```

Values from the calculation:
volume: 13.7 A^3/atom
crystal system: tetragonal

***

2:
Compound: ZrNi2F
Source: the Alexandria database
Functional: PBE+U
Structure: relaxed

Cell and atoms, written as POSCAR:
```
ZrNi2F
1.0
6.0262 0.0000 0.0000
0.0000 6.0262 0.0000
0.0000 0.0000 6.0262
Zr Ni F
4 8 4
Direct
0.0000 0.0000 0.0000
0.0000 0.5000 0.5000
0.5000 0.0000 0.5000
0.5000 0.5000 0.0000
0.2500 0.2500 0.2500
0.2500 0.2500 0.7500
0.2500 0.7500 0.2500
0.2500 0.7500 0.7500
0.7500 0.2500 0.2500
0.7500 0.2500 0.7500
0.7500 0.7500 0.2500
0.7500 0.7500 0.7500
0.0000 0.0000 0.5000
0.0000 0.5000 0.0000
0.5000 0.0000 0.0000
0.5000 0.5000 0.5000
```

Values from the calculation:
volume: 13.7 A^3/atom
crystal system: cubic

***

Most stable to least stable, the ends of the list are 1 and 2.